No. 1
12
Lattice="-1.2830 5.4311 6.8077 -2.7326 -5.4052 -6.3879 0.5967 -7.6017 6.1770" Properties=species:S:1:pos:R:3 comment="CsCuTe2WS GGA-PBE optimized geometry" space_group="No. 63" total_energy_ev_per_atom=-4.8731 pbc="T T T"
Te -1.5765 -2.2529 4.4753
Te -1.5976 -8.4418 4.6558
Te -1.8424 -5.3228 2.1214
Te -1.8213 0.8661 1.9410
S -2.2140 -10.5751 -1.1082
S -1.2049 2.9994 7.7050
W 0.2983 -3.8008 3.0885
W 0.0000 0.0000 0.0000
Cs -2.2073 -4.4941 -1.4201
Cs -1.2116 -3.0816 8.0169
Cu -1.5869 -5.8870 4.6007
Cu -1.8320 -1.6887 1.9961

No. 2
12
Lattice="1.9070 -8.3764 0.0000 1.9070 8.3764 0.0000 0.0000 0.0000 10.0241" Properties=species:S:1:pos:R:3 comment="CsCuTeWS2 GGA-PBE optimized geometry" space_group="No. 63" total_energy_ev_per_atom=-5.2085 pbc="T T T"
W 1.9070 0.0000 5.0121
W 1.9070 0.0000 0.0000
Cu 1.9070 7.9747 7.5181
Cu 1.9070 -7.9747 2.5060
S 1.9070 -6.8601 4.4585
S 1.9070 6.8601 5.5656
S 1.9070 -6.8601 0.5536
S 1.9070 6.8601 9.4706
Te 1.9070 1.3695 7.5181
Te 1.9070 -1.3695 2.5060
Cs 1.9070 -3.6563 7.5181
Cs 1.9070 3.6563 2.5060

No. 3
12
Lattice="-5.6105 -3.8600 -5.3195 4.7362 0.5983 7.2031 -7.9035 4.8851 4.7909" Properties=species:S:1:pos:R:3 comment="CsZrCuTeS2 GGA-PBE optimized geometry" space_group="No. 63" total_energy_ev_per_atom=-5.1788 pbc="T T T"
Cu 2.5186 1.7155 8.1083
Cu -11.2963 -0.0920 -1.4338
S -9.0806 -0.6714 -1.4086
S -12.0055 1.1365 0.3644
S 3.2278 0.4869 6.3101
S 0.3029 2.2948 8.0831
Te -7.2075 1.6699 3.5150
Te -1.5703 -0.0464 3.1595
Cs -4.0595 3.0263 7.3250
Cs -4.7182 -1.4029 -0.6505
Zr -4.3889 0.8117 3.3372
Zr -0.4371 -1.6308 0.9418

No. 4
9
Lattice="-5.1964 -2.5896 1.8551 0.7395 -4.4333 -4.1169 3.0985 -3.2848 4.0938" Properties=species:S:1:pos:R:3 comment="CsCu3WS4 GGA-PBE optimized geometry" space_group="No. 215" total_energy_ev_per_atom=-4.8120 pbc="T T T"
Cu -1.0490 -2.9372 2.9745
Cu 1.9190 -3.8590 -0.0116
Cu -2.2284 -3.5114 -1.1309
S 1.2561 -6.2525 0.5136
S -1.2870 -5.4626 3.0723
S -0.3882 -2.9457 0.5235
S -2.2977 -5.9546 -0.4455
W -0.6792 -5.1538 0.9160
Cs 0.0000 0.0000 0.0000

No. 5
12
Lattice="3.2637 5.0346 5.4012 -4.1865 -1.8289 -6.6558 -7.9764 -0.3002 5.0996" Properties=species:S:1:pos:R:3 comment="CsCuWS3 GGA-PBE optimized geometry" space_group="No. 63" total_energy_ev_per_atom=-5.5036 pbc="T T T"
Cs -0.6238 3.2152 3.6119
Cs -8.2754 -0.3097 0.2331
S -4.8825 0.7341 0.4046
S -3.1514 4.4107 8.5254
S -1.6183 0.8569 -1.6823
S -5.7477 -1.5052 -4.6804
S -7.2809 2.0486 5.5273
S -4.0166 2.1714 3.4404
W 0.0000 0.0000 0.0000
W -3.9882 -0.1501 2.5498
Cu -6.1911 1.6104 3.6062
Cu -2.7081 1.2951 0.2388

No. 6
12
Lattice="-6.0119 -1.9061 6.8882 0.2100 -3.8867 -0.8922 9.2215 -0.2230 3.1422" Properties=species:S:1:pos:R:3 comment="CsYCuS3 GGA-PBE optimized geometry" space_group="No. 11" total_energy_ev_per_atom=-5.1772 pbc="T T T"
S 4.1685 -3.3666 2.2423
S -3.7609 -4.6105 5.7942
S 4.6762 -2.1593 6.0388
S -0.7489 -2.6492 6.8959
S -1.2566 -3.8565 3.0994
S 7.1806 -1.4053 3.3440
Cu 5.1621 -1.2658 2.2611
Cu -1.7425 -4.7500 6.8771
Y 6.1006 -3.7353 4.3032
Y -2.6810 -2.2805 4.8350
Cs 2.3895 -4.5848 7.1302
Cs 1.0301 -1.4310 2.0080